# 1
A plane-wave DFT calculation with PBE-GGA was carried out for crystalline In6SnBr8 at its relaxed geometry.

VASP energy in eV/atom: -2.92
ΔE_f (raw) in eV per atom: -0.67

abc: 8.634 8.634 8.634
angles: 71.48 71.48 71.48
Atoms (fractional coordinates):
In  0.023  0.458  0.794
In  0.206  0.977  0.542
In  0.458  0.794  0.023
In  0.542  0.206  0.977
In  0.794  0.023  0.458
In  0.977  0.542  0.206
Sn  0.500  0.500  0.500
Br  0.167  0.658  0.413
Br  0.180  0.180  0.180
Br  0.342  0.587  0.833
Br  0.413  0.167  0.658
Br  0.587  0.833  0.342
Br  0.658  0.413  0.167
Br  0.820  0.820  0.820
Br  0.833  0.342  0.587


# 2
A plane-wave DFT calculation with PBE-GGA was carried out for crystalline Sr2MnHgPb at its relaxed geometry.

VASP energy in eV/atom: -2.80

abc: 6.397 6.397 5.658
angles: 90.00 90.00 90.00
Atoms (fractional coordinates):
Sr  0.000  0.500  0.000
Sr  0.500  0.000  0.000
Mn  0.000  0.000  0.500
Hg  0.500  0.500  0.500
Pb  0.500  0.500  0.000


# 3
A plane-wave DFT calculation with PBE-GGA was carried out for crystalline CoNiSb2 at its relaxed geometry.

VASP energy in eV/atom: -5.20
ΔE_f (raw) in eV per atom: 0.08

abc: 6.506 6.506 6.506
angles: 152.82 145.73 44.28
Atoms (fractional coordinates):
Co  0.000  0.000  0.000
Ni  0.207  0.707  0.500
Sb  0.561  0.561  0.000
Sb  0.819  0.319  0.500


# 4
A plane-wave DFT calculation with PBE-GGA was carried out for crystalline BeCd2Ag at its relaxed geometry.

VASP energy in eV/atom: -1.89

abc: 2.988 3.048 7.506
angles: 90.00 90.00 90.00
Atoms (fractional coordinates):
Be  0.000  0.000  0.000
Cd  0.500  0.500  0.219
Cd  0.500  0.500  0.781
Ag  0.000  0.000  0.500


# 5
A plane-wave DFT calculation with PBE-GGA was carried out for crystalline Sc4SnHg2 at its relaxed geometry.

VASP energy in eV/atom: -4.57

abc: 8.666 8.666 8.666
angles: 32.67 32.67 32.67
Atoms (fractional coordinates):
Sc  0.119  0.119  0.119
Sc  0.372  0.372  0.372
Sc  0.628  0.628  0.628
Sc  0.881  0.881  0.881
Sn  0.500  0.500  0.500
Hg  0.257  0.257  0.257
Hg  0.743  0.743  0.743


# 6
A plane-wave DFT calculation with PBE-GGA was carried out for crystalline Ga2HRh at its relaxed geometry.

VASP energy in eV/atom: -4.00
Energy above the lowest structure with this stoichiometry in kJ/mol of atoms: 23.3

abc: 4.210 4.210 4.210
angles: 60.00 60.00 60.00
Atoms (fractional coordinates):
Ga  0.250  0.250  0.250
Ga  0.750  0.750  0.750
H  0.000  0.000  0.000
Rh  0.500  0.500  0.500


# 7
A plane-wave DFT calculation with PBE-GGA was carried out for crystalline Dy2TmTh5 at its relaxed geometry.

VASP energy in eV/atom: -5.49

abc: 7.319 7.319 5.517
angles: 90.00 90.00 90.00
Atoms (fractional coordinates):
Dy  0.000  0.500  0.000
Dy  0.500  0.000  0.000
Tm  0.000  0.000  0.500
Th  0.000  0.000  0.000
Th  0.286  0.286  0.500
Th  0.286  0.714  0.500
Th  0.714  0.286  0.500
Th  0.714  0.714  0.500


# 8
A plane-wave DFT calculation with PBE-GGA was carried out for crystalline Li2ErGeS4 at its relaxed geometry.

VASP energy in eV/atom: -4.90
ΔE_f (raw) in eV per atom: -1.21

abc: 6.502 3.744 6.580
angles: 90.00 109.67 90.00
Atoms (fractional coordinates):
Li  0.000  0.000  0.000
Li  0.000  0.500  0.500
Er  0.500  0.000  0.500
Ge  0.500  0.500  0.000
S  0.253  0.500  0.237
S  0.256  0.000  0.761
S  0.744  0.000  0.239
S  0.747  0.500  0.763